one) CdCoP2O | GGA+U | relaxed

The structure in extended XYZ format:
```
5
Lattice="-3.394 0.513 -3.670 -3.705 -0.552 3.349 -0.049 4.003 0.606" Properties=species:S:1:pos:R:3 pbc="T T T"
P -1.853 -0.276 1.675
P -1.697 0.257 -1.835
Co -3.574 1.982 0.142
O -0.025 2.002 0.303
Cd 0.000 0.000 0.000
```

Summary:
theoretical density	4049	kg/m3


two) CdCoP2O | GGA+U | relaxed

The structure in extended XYZ format:
```
5
Lattice="-0.278 1.113 -4.634 -4.498 -1.595 -0.113 -1.137 3.148 0.824" Properties=species:S:1:pos:R:3 pbc="T T T"
P -2.249 -0.797 -0.056
P -0.139 0.556 -2.317
Co 0.000 0.000 0.000
O -0.568 1.574 0.412
Cd -2.957 1.333 -1.961
```

Summary:
theoretical density	5270	kg/m3


Least stable structure: one)